DFT (PBE-GGA) results for an optimized crystal structure of La3CePr4Te8.

abc: 9.1135 9.0808 9.1130
angles: 120.12 120.00 90.00
Closest atoms and distances in Å follow each position.
Fractional positions:
Te: 0.2488 0.7503 0.4976  1 Ce 3.20, 3 Pr 3.21-3.23, 2 La 3.23
La: 0.5000 0.5000 0.0000  6 Te 3.22-3.23
La: 0.5000 0.5000 0.5000  6 Te 3.23
Pr: 0.5000 0.0000 0.0000  6 Te 3.23
Pr: 0.0000 0.0000 0.0000  6 Te 3.21
Te: 0.2488 0.7503 0.0015  1 Ce 3.20, 3 Pr 3.21-3.23, 2 La 3.23
Te: 0.7527 0.7503 0.0015  1 Ce 3.20, 3 Pr 3.21-3.23, 2 La 3.23
Te: 0.2493 0.2479 0.4986  3 Pr 3.21, 3 La 3.22-3.23
Te: 0.7512 0.2497 0.5024  1 Ce 3.20, 3 Pr 3.21-3.23, 2 La 3.23
Te: 0.2473 0.2497 0.9985  1 Ce 3.20, 3 Pr 3.21-3.23, 2 La 3.23
La: 0.0000 0.5000 0.5000  6 Te 3.23
Ce: 0.0000 0.5000 0.0000  6 Te 3.20
Te: 0.7507 0.7521 0.5014  3 Pr 3.21, 3 La 3.22-3.23
Pr: 0.0000 0.0000 0.5000  6 Te 3.21
Pr: 0.5000 0.0000 0.5000  6 Te 3.21
Te: 0.7512 0.2497 0.9985  1 Ce 3.20, 3 Pr 3.21-3.23, 2 La 3.23

- formation energy without anion corrections (meV/atom) = -1491
- space-group type = R-3m (166)
- DFT total energy (eV/atom) = -5.55

=====

DFT (PBE-GGA) results for an optimized crystal structure of La6CePr2Tm.

abc: 10.0177 7.0148 6.8789
angles: 120.66 115.82 90.00
Closest atoms and distances in Å follow each position.
Fractional positions:
La: 0.5786 0.3493 0.6986  3 Pr 3.60-4.00, 1 Ce 3.66, 2 La 3.78, 1 Tm 3.80
Pr: 0.1986 0.0616 0.1231  5 La 3.44-3.60, 1 Tm 3.45, 1 Pr 3.48
Pr: 0.8014 0.9384 0.8769  5 La 3.44-3.60, 1 Tm 3.45, 1 Pr 3.48
La: 0.1827 0.5381 0.6311  2 La 3.12-3.19, 1 Tm 3.41, 2 Pr 3.44-3.46
La: 0.4214 0.6507 0.3014  3 Pr 3.60-4.00, 1 Ce 3.66, 2 La 3.78, 1 Tm 3.80
Tm: 0.5000 0.0000 0.0000  6 La 3.41-3.80, 2 Pr 3.45
La: 0.8173 0.9069 0.3689  2 La 3.12-3.19, 1 Tm 3.41, 2 Pr 3.44-3.46
Ce: 0.0000 0.5000 0.0000  10 La 3.66-3.82, 4 Pr 3.91
La: 0.1827 0.0931 0.6311  2 La 3.12-3.19, 1 Tm 3.41, 2 Pr 3.44-3.46
La: 0.8173 0.4619 0.3689  2 La 3.12-3.19, 1 Tm 3.41, 2 Pr 3.44-3.46

- space-group type = C2/m (12)
- DFT total energy (eV/atom) = -4.75
- formation enthalpy at 0 K (eV per atom) = 0.201

=====

DFT (PBE-GGA) results for an optimized crystal structure of La5CePr2Tm.

abc: 8.7279 8.7279 10.3445
angles: 114.95 114.95 90.00
Closest atoms and distances in Å follow each position.
Fractional positions:
Ce: 0.7500 0.2500 0.5000  4 La 2.84
La: 0.4634 0.3354 0.2988  1 Ce 2.84
Pr: 0.6289 0.1289 0.0000  1 Pr 3.18, 4 La 3.37-3.43
La: 0.1646 0.0366 0.7012  1 Ce 2.84
Pr: 0.1289 0.3711 0.0000  1 Pr 3.18, 4 La 3.37-3.43
Ce: 0.2500 0.7500 0.5000  4 La 2.84
La: 0.6646 0.1646 0.7012  1 Ce 2.84
Tm: 0.7500 0.7500 0.5000  8 La 3.60
Pr: 0.8711 0.6289 0.0000  1 Pr 3.18, 4 La 3.37-3.43
Tm: 0.2500 0.2500 0.5000  8 La 3.60
La: 0.5366 0.6646 0.7012  1 Ce 2.84
La: 0.3354 0.8354 0.2988  1 Ce 2.84
La: 0.9634 0.4634 0.2988  1 Ce 2.84
La: 0.8354 0.9634 0.2988  1 Ce 2.84
La: 0.5000 0.5000 0.0000  4 Pr 3.43
La: 0.0000 0.0000 0.0000  4 Pr 3.43
Pr: 0.3711 0.8711 0.0000  1 Pr 3.18, 4 La 3.37-3.43
La: 0.0366 0.5366 0.7012  1 Ce 2.84

- space-group type = I4/mcm (140)
- DFT total energy (eV/atom) = -4.75
- formation enthalpy at 0 K (eV per atom) = 0.208

=====

| no. | calculated density (g/cm³) |
| --- | --- |
| 1 | 6.680 |
| 2 | 6.595 |
| 3 | 6.750 |